# Tl2Cd8Au | Alexandria | PBE-GGA | optimized geometry
data_Tl2Cd8Au
_chemical_formula_sum 'Tl4 Cd16 Au2'
_cell_length_a 11.737
_cell_length_b 9.501
_cell_length_c 5.870
_cell_angle_alpha 90.00
_cell_angle_beta 114.19
_cell_angle_gamma 90.00
_symmetry_space_group_name_H-M 'C 1 2/m 1'
_symmetry_Int_Tables_number 12
_symmetry_space_group_name_Hall '-C 2y'
loop_
_atom_site_label
_atom_site_type_symbol
_atom_site_fract_x
_atom_site_fract_y
_atom_site_fract_z
Tl1 Tl 0.149 0.000 0.077
Cd1 Cd 0.048 0.500 0.790
Cd2 Cd 0.129 0.261 0.523
Cd3 Cd 0.224 0.500 0.306
Au1 Au 0.000 0.000 0.500
# Total moment ... 0.00 μB per formula unit
# Calculated formation energy ... 0.047 eV per atom

=====

# Tl2CdAu | Alexandria | PBE-GGA | optimized geometry
data_Tl2CdAu
_chemical_formula_sum 'Tl8 Cd4 Au4'
_cell_length_a 7.441
_cell_length_b 7.441
_cell_length_c 7.441
_cell_angle_alpha 90.00
_cell_angle_beta 90.00
_cell_angle_gamma 90.00
_symmetry_space_group_name_H-M 'F m -3 m'
_symmetry_Int_Tables_number 225
_symmetry_space_group_name_Hall '-F 4 2 3'
loop_
_atom_site_label
_atom_site_type_symbol
_atom_site_fract_x
_atom_site_fract_y
_atom_site_fract_z
Tl1 Tl 0.250 0.250 0.250
Cd1 Cd 0.000 0.000 0.000
Au1 Au 0.000 0.000 0.500
# Relative energy among the computed polymorphs ... 67.9 meV per atom
# Total moment ... 0.00 μB per formula unit
# Calculated formation energy ... 0.050 eV per atom

=====

# Tl2CdAu | Alexandria | PBE-GGA | optimized geometry
data_Tl2CdAu
_chemical_formula_sum 'Tl4 Cd2 Au2'
_cell_length_a 12.433
_cell_length_b 3.355
_cell_length_c 5.494
_cell_angle_alpha 90.00
_cell_angle_beta 115.14
_cell_angle_gamma 90.00
_symmetry_space_group_name_H-M 'C 1 m 1'
_symmetry_Int_Tables_number 8
_symmetry_space_group_name_Hall 'C -2y'
loop_
_atom_site_label
_atom_site_type_symbol
_atom_site_fract_x
_atom_site_fract_y
_atom_site_fract_z
Tl1 Tl 0.000 0.000 0.000
Tl2 Tl 0.211 0.000 0.715
Cd1 Cd 0.438 0.000 0.439
Au1 Au 0.230 0.500 0.236
# Relative energy among the computed polymorphs ... 17.0 meV per atom
# Total moment ... 0.00 μB per formula unit
# Calculated formation energy ... -0.001 eV per atom